Here is a geometry-optimized LiVF6 structure from Alexandria. Energies are from GGA-PBEsol.

a b c (Å): 5.127 5.127 9.199
angles (deg): 90.00 90.00 120.00
Fractional coordinates of all 16 atoms:
Li  0.000  0.000  0.250
Li  0.000  0.000  0.750
V  0.333  0.667  0.250
V  0.667  0.333  0.750
F  0.060  0.368  0.139
F  0.060  0.693  0.361
F  0.307  0.368  0.361
F  0.307  0.940  0.139
F  0.368  0.060  0.639
F  0.368  0.307  0.861
F  0.632  0.693  0.139
F  0.632  0.940  0.361
F  0.693  0.060  0.861
F  0.693  0.632  0.639
F  0.940  0.307  0.639
F  0.940  0.632  0.861

Output
total magnetization	0.199	μB per cell
space-group type	P-31c
energy	-5.691	eV/atom
density	2.7	Mg/m³